[1]
First-principles (PBEsol) data for LaSc2Cd after structural relaxation, as listed in the Alexandria database.

Summary:
**Energy of formation**: -104.7 meV per atom

CIF file:
```
data_LaSc2Cd
_cell_length_a 3.371
_cell_length_b 3.371
_cell_length_c 8.954
_cell_angle_alpha 90.00
_cell_angle_beta 90.00
_cell_angle_gamma 90.00
_space_group_name_H-M_alt 'P 4 m m'
_space_group_IT_number 99
_space_group_name_Hall 'P 4 -2'
loop_
_atom_site_label
_atom_site_fract_x
_atom_site_fract_y
_atom_site_fract_z
_atom_site_occupancy
La1 0.000 0.000 0.000 1
Sc1 0.000 0.000 0.526 1
Sc2 0.500 0.500 0.292 1
Cd1 0.500 0.500 0.733 1
```



[2]
First-principles (PBEsol) data for ZnTe2As2 after structural relaxation, as listed in the Alexandria database.

Summary:
**Uncorrected formation energy**: 0.219 eV per atom

CIF file:
```
data_ZnTe2As2
_cell_length_a 7.809
_cell_length_b 7.809
_cell_length_c 3.932
_cell_angle_alpha 90.00
_cell_angle_beta 90.00
_cell_angle_gamma 90.00
_space_group_name_H-M_alt 'P 4/m b m'
_space_group_IT_number 127
_space_group_name_Hall '-P 4 2ab'
loop_
_atom_site_label
_atom_site_fract_x
_atom_site_fract_y
_atom_site_fract_z
_atom_site_occupancy
Zn1 0.000 0.000 0.000 1
Te1 0.151 0.349 0.500 1
As1 0.184 0.684 0.000 1
```



[3]
First-principles (PBEsol) data for TaNb2Br after structural relaxation, as listed in the Alexandria database.

Summary:
**Uncorrected formation energy**: 0.656 eV per atom

CIF file:
```
data_TaNb2Br
_cell_length_a 6.580
_cell_length_b 6.580
_cell_length_c 6.580
_cell_angle_alpha 90.00
_cell_angle_beta 90.00
_cell_angle_gamma 90.00
_space_group_name_H-M_alt 'F m -3 m'
_space_group_IT_number 225
_space_group_name_Hall '-F 4 2 3'
loop_
_atom_site_label
_atom_site_fract_x
_atom_site_fract_y
_atom_site_fract_z
_atom_site_occupancy
Ta1 0.000 0.000 0.000 1
Nb1 0.250 0.250 0.250 1
Br1 0.000 0.000 0.500 1
```



[4]
First-principles (PBEsol) data for CaMgMn after structural relaxation, as listed in the Alexandria database.

Summary:
**Energy of formation**: 817.5 meV per atom

CIF file:
```
data_CaMgMn
_cell_length_a 6.960
_cell_length_b 6.960
_cell_length_c 6.960
_cell_angle_alpha 90.00
_cell_angle_beta 90.00
_cell_angle_gamma 90.00
_space_group_name_H-M_alt 'F -4 3 m'
_space_group_IT_number 216
_space_group_name_Hall 'F -4 2 3'
loop_
_atom_site_label
_atom_site_fract_x
_atom_site_fract_y
_atom_site_fract_z
_atom_site_occupancy
Ca1 0.000 0.000 0.000 1
Mg1 0.250 0.250 0.250 1
Mn1 0.000 0.000 0.500 1
```



[5]
First-principles (PBEsol) data for HfHg3Pd after structural relaxation, as listed in the Alexandria database.

Summary:
**Energy of formation**: 646.5 meV per atom

CIF file:
```
data_HfHg3Pd
_cell_length_a 4.964
_cell_length_b 4.964
_cell_length_c 4.964
_cell_angle_alpha 90.00
_cell_angle_beta 90.00
_cell_angle_gamma 90.00
_space_group_name_H-M_alt 'P m -3 m'
_space_group_IT_number 221
_space_group_name_Hall '-P 4 2 3'
loop_
_atom_site_label
_atom_site_fract_x
_atom_site_fract_y
_atom_site_fract_z
_atom_site_occupancy
Hf1 0.000 0.000 0.000 1
Hg1 0.000 0.500 0.500 1
Pd1 0.500 0.500 0.500 1
```



[6]
First-principles (PBEsol) data for P6Pb10O25 after structural relaxation, as listed in the Alexandria database.

Summary:
**Uncorrected formation energy**: -1.858 eV per atom

CIF file:
```
data_P6Pb10O25
_cell_length_a 9.8304
_cell_length_b 9.8304
_cell_length_c 7.3545
_cell_angle_alpha 90.00
_cell_angle_beta 90.00
_cell_angle_gamma 120.00
_space_group_name_H-M_alt 'P 3'
_space_group_IT_number 143
_space_group_name_Hall 'P 3'
loop_
_atom_site_label
_atom_site_fract_x
_atom_site_fract_y
_atom_site_fract_z
_atom_site_occupancy
P1 0.0271 0.6310 0.0000 1
P2 0.4050 0.0296 0.4997 1
Pb1 0.0005 0.2546 0.0004 1
Pb2 0.0023 0.7722 0.5026 1
Pb3 0.3333 0.6667 0.2583 1
Pb4 0.3333 0.6667 0.7431 1
Pb5 0.6667 0.3333 0.2522 1
Pb6 0.6667 0.3333 0.7456 1
O1 0.0000 0.0000 0.5129 1
O2 0.0918 0.7403 0.1686 1
O3 0.0926 0.7388 0.8300 1
O4 0.0986 0.5194 0.0016 1
O5 0.1481 0.4989 0.5007 1
O6 0.3413 0.0742 0.3296 1
O7 0.3448 0.0765 0.6712 1
O8 0.4674 0.3134 0.9993 1
O9 0.5416 0.4122 0.4977 1
```



[7]
First-principles (PBEsol) data for CeEuZn2 after structural relaxation, as listed in the Alexandria database.

Summary:
**Energy of formation**: -149.7 meV per atom

CIF file:
```
data_CeEuZn2
_cell_length_a 7.192
_cell_length_b 7.192
_cell_length_c 7.192
_cell_angle_alpha 90.00
_cell_angle_beta 90.00
_cell_angle_gamma 90.00
_space_group_name_H-M_alt 'F m -3 m'
_space_group_IT_number 225
_space_group_name_Hall '-F 4 2 3'
loop_
_atom_site_label
_atom_site_fract_x
_atom_site_fract_y
_atom_site_fract_z
_atom_site_occupancy
Ce1 0.000 0.000 0.000 1
Eu1 0.000 0.000 0.500 1
Zn1 0.250 0.250 0.250 1
```



[8]
First-principles (PBEsol) data for PtICl2 after structural relaxation, as listed in the Alexandria database.

Summary:
**Uncorrected formation energy**: 0.081 eV per atom

CIF file:
```
data_PtICl2
_cell_length_a 8.307
_cell_length_b 8.307
_cell_length_c 5.625
_cell_angle_alpha 90.00
_cell_angle_beta 90.00
_cell_angle_gamma 90.00
_space_group_name_H-M_alt 'I -4 2 d'
_space_group_IT_number 122
_space_group_name_Hall 'I -4 2bw'
loop_
_atom_site_label
_atom_site_fract_x
_atom_site_fract_y
_atom_site_fract_z
_atom_site_occupancy
Pt1 0.000 0.000 0.000 1
I1 0.000 0.000 0.500 1
Cl1 0.123 0.750 0.125 1
```



Q: What is the formula in the fifth record?
A: HfHg3Pd